(1)
Material: Ac2HfF11
Method: DFT, GGA-PBE
State: optimized geometry Values from VASP.

Results
- energy relative to the elements, uncorrected (eV per atom) = -3.695
- E (eV per atom) = -6.4637
- N(E_F) (states/eV per cell) = 1.62

Cell and atoms, written as Quantum ESPRESSO input:
```
&SYSTEM
  ibrav = 0, nat = 28, ntyp = 3
/
ATOMIC_SPECIES
Ac 227.00 Ac.upf
Hf 178.49 Hf.upf
F 19.00 F.upf
ATOMIC_POSITIONS crystal
Ac 0.6757 0.6931 0.3069
Ac 0.3243 0.3069 0.6931
Ac 0.8243 0.1931 0.8069
Ac 0.1757 0.8069 0.1931
Hf 0.7500 0.7500 0.7500
Hf 0.2500 0.2500 0.2500
F 0.6742 0.7111 0.5781
F 0.3258 0.2889 0.4219
F 0.0366 0.5781 0.7111
F 0.8258 0.9219 0.7889
F 0.9634 0.4219 0.2889
F 0.1742 0.0781 0.2111
F 0.4634 0.7889 0.9219
F 0.5366 0.2111 0.0781
F 0.5000 0.5000 0.5000
F 0.0000 0.0000 0.0000
F 0.8961 0.8232 0.1768
F 0.1039 0.1768 0.8232
F 0.6039 0.3232 0.6768
F 0.3961 0.6768 0.3232
F 0.4323 0.9921 0.3052
F 0.5677 0.0079 0.6948
F 0.2703 0.3052 0.9921
F 0.0677 0.1948 0.5079
F 0.7297 0.6948 0.0079
F 0.9323 0.8052 0.4921
F 0.2297 0.5079 0.1948
F 0.7703 0.4921 0.8052
CELL_PARAMETERS angstrom
1.5257 -7.9889 -3.8592
6.4489 -0.9457 -5.9930
5.8803 -5.6307 3.4808
```

---

(2)
Material: AcHf2F11
Method: DFT, GGA-PBE
State: optimized geometry Values from VASP.

Results
- energy relative to the elements, uncorrected (eV per atom) = -3.960
- E (eV per atom) = -7.1461
- N(E_F) (states/eV per cell) = 0.00

Cell and atoms, written as Quantum ESPRESSO input:
```
&SYSTEM
  ibrav = 0, nat = 28, ntyp = 3
/
ATOMIC_SPECIES
Ac 227.00 Ac.upf
Hf 178.49 Hf.upf
F 19.00 F.upf
ATOMIC_POSITIONS crystal
Ac 0.7500 0.7500 0.7500
Ac 0.2500 0.2500 0.2500
Hf 0.6301 0.6802 0.3198
Hf 0.3699 0.3198 0.6802
Hf 0.8699 0.1802 0.8198
Hf 0.1301 0.8198 0.1802
F 0.6339 0.7021 0.5456
F 0.3661 0.2979 0.4544
F 0.1184 0.5456 0.7021
F 0.8661 0.9544 0.7979
F 0.8816 0.4544 0.2979
F 0.1339 0.0456 0.2021
F 0.3816 0.7979 0.9544
F 0.6184 0.2021 0.0456
F 0.5000 0.5000 0.5000
F 0.0000 0.0000 0.0000
F 0.8685 0.7800 0.2200
F 0.1315 0.2200 0.7800
F 0.6315 0.2800 0.7200
F 0.3685 0.7200 0.2800
F 0.4714 0.9414 0.3211
F 0.5286 0.0586 0.6789
F 0.2661 0.3211 0.9414
F 0.0286 0.1789 0.5586
F 0.7339 0.6789 0.0586
F 0.9714 0.8211 0.4414
F 0.2339 0.5586 0.1789
F 0.7661 0.4414 0.8211
CELL_PARAMETERS angstrom
-3.7298 -2.1500 6.5449
-7.7656 -3.6880 -0.9486
0.7500 -8.2763 2.3969
```

---

(3)
Material: Ac2HfF
Method: DFT, GGA-PBE
State: optimized geometry Values from VASP.

Results
- energy relative to the elements, uncorrected (eV per atom) = -0.562
- E (eV per atom) = -5.5726
- N(E_F) (states/eV per cell) = 4.04

Cell and atoms, written as Quantum ESPRESSO input:
```
&SYSTEM
  ibrav = 0, nat = 4, ntyp = 3
/
ATOMIC_SPECIES
Ac 227.00 Ac.upf
Hf 178.49 Hf.upf
F 19.00 F.upf
ATOMIC_POSITIONS crystal
Ac 0.1021 0.1021 0.6936
Ac 0.8979 0.8979 0.3064
Hf 0.0000 0.0000 0.0000
F 0.5000 0.5000 0.5000
CELL_PARAMETERS angstrom
3.5391 0.0000 0.0000
1.7696 3.0650 0.0000
1.7696 1.0217 10.6329
```